[1]
AlZn3B | meta-GGA SCAN | PBEsol geometry

Structure (POSCAR):
```
AlZn3B
1.0
-4.0886 0.8770 -0.2597
-0.3541 -0.4210 4.1534
0.8433 4.0751 0.4850
Zn B Al
3 1 1
direct
0.0000 0.5000 0.0000 Zn
0.5000 0.0000 0.0000 Zn
0.0000 0.0000 0.5000 Zn
0.0000 0.0000 0.0000 B
0.5000 0.5000 0.5000 Al
```

## Properties
SG: Pm-3m
DOS at the Fermi energy: 2.31 states/eV/cell
Theoretical density: 5.28 g/cm3
Energy: -10.67 eV per atom
ΔH_f (0 K): 0.4768 eV per atom



[2]
ZnAsRu2 | meta-GGA SCAN | PBEsol geometry

Structure (POSCAR):
```
ZnAsRu2
1.0
2.8236 0.0025 0.0039
-1.2966 4.7100 -0.0222
-1.2966 -2.0440 4.2435
Ru As Zn
2 1 1
direct
0.0000 0.5000 0.0000 Ru
0.0000 0.0000 0.5000 Ru
0.5000 0.5000 0.5000 As
0.5000 0.0000 0.0000 Zn
```

## Properties
SG: C2/m
DOS at the Fermi energy: 2.79 states/eV/cell
Theoretical density: 10.09 g/cm3
Energy: -25.67 eV per atom
ΔH_f (0 K): 0.1672 eV per atom
Energy relative to the lowest polymorph listed for this composition: 0.64 eV per formula unit



[3]
TlCoCl2 | meta-GGA SCAN | PBEsol geometry

Structure (POSCAR):
```
TlCoCl2
1.0
-0.4223 1.8608 2.7022
-0.4622 -3.4289 4.3138
4.4014 -0.7863 3.2541
Cl Tl Co
2 1 1
direct
0.8102 0.6898 0.6898 Cl
0.9857 0.0143 0.0143 Cl
0.2238 0.2762 0.2762 Tl
0.4803 0.5197 0.5197 Co
```

## Properties
SG: Imm2
DOS at the Fermi energy: 0.51 states/eV/cell
Theoretical density: 6.67 g/cm3
Energy: -26.82 eV per atom
ΔE_f (raw): -0.415 eV/atom



[4]
Be3NbNi | meta-GGA SCAN | PBEsol geometry

Structure (POSCAR):
```
Be3NbNi
1.0
-1.0413 1.1348 3.5083
1.7988 -3.0260 1.5127
3.2188 2.0581 0.2896
Be Nb Ni
3 1 1
direct
0.0000 0.5000 0.0000 Be
0.5000 0.0000 0.0000 Be
0.0000 0.0000 0.5000 Be
0.5000 0.5000 0.5000 Nb
0.0000 0.0000 0.0000 Ni
```

## Properties
SG: Pm-3m
DOS at the Fermi energy: 3.30 states/eV/cell
Theoretical density: 5.27 g/cm3
Energy: -12.35 eV per atom
ΔH_f (0 K): 0.1240 eV per atom
Energy relative to the lowest polymorph listed for this composition: 0.00 eV per formula unit



[5]
ZrTa2C | meta-GGA SCAN | PBEsol geometry

Structure (POSCAR):
```
ZrTa2C
1.0
-0.3610 3.0021 0.4678
-1.2764 0.5585 -4.5688
-3.5255 -0.9484 3.3658
Ta Zr C
2 1 1
direct
0.0000 0.8291 0.6581 Ta
0.0000 0.1709 0.3419 Ta
0.5000 0.5000 0.0000 Zr
0.5000 0.0000 0.0000 C
```

## Properties
SG: Cmmm
DOS at the Fermi energy: 2.19 states/eV/cell
Theoretical density: 12.14 g/cm3
Energy: -43.94 eV per atom
ΔH_f (0 K): -0.4536 eV per atom



[6]
LaBeCrSi2 | meta-GGA SCAN | PBEsol geometry

Structure (POSCAR):
```
LaBeCrSi2
1.0
4.4885 0.0000 0.0000
0.0000 4.4885 0.0000
0.0000 0.0000 4.9856
Si Be La Cr
2 1 1 1
direct
0.0000 0.5000 0.0000 Si
0.5000 0.0000 0.0000 Si
0.5000 0.5000 0.5000 Be
0.0000 0.0000 0.5000 La
0.0000 0.0000 0.0000 Cr
```

## Properties
SG: P4/mmm
DOS at the Fermi energy: 1.76 states/eV/cell
Theoretical density: 4.23 g/cm3
Energy: -16.67 eV per atom
ΔE_f (raw): 0.507 eV/atom



| no. | calculated volume (Å³/f.u.) |
| --- | --- |
| 1 | 74 |
| 2 | 56 |
| 3 | 83 |
| 4 | 56 |
| 5 | 64 |
| 6 | 100 |